{"formula": "Cs2NaSbBr6", "functional": "PBE", "state": "optimized geometry", "e_form_raw_kj_per_mol_atoms": -126.4, "mass_density_g_cm3": 3.84, "total_energy_ev_per_atom": -3.029, "magmom_total_mub_per_fu": 0.00, "cell": [[0.0000, 5.7738, 5.7738], [5.7738, 0.0000, 5.7738], [5.7738, 5.7738, 0.0000]], "species": ["Cs", "Cs", "Na", "Sb", "Br", "Br", "Br", "Br", "Br", "Br"], "frac_coords": [[0.2500, 0.2500, 0.2500], [0.7500, 0.7500, 0.7500], [0.0000, 0.0000, 0.0000], [0.5000, 0.5000, 0.5000], [0.2558, 0.2558, 0.7442], [0.2558, 0.7442, 0.2558], [0.2558, 0.7442, 0.7442], [0.7442, 0.2558, 0.2558], [0.7442, 0.2558, 0.7442], [0.7442, 0.7442, 0.2558]]}